! Ti4V2Pd3 (PBE, relaxed); values from VASP
&SYSTEM
  ibrav = 0, nat = 9, ntyp = 3
/
ATOMIC_SPECIES
Ti 47.87 Ti.upf
V 50.94 V.upf
Pd 106.42 Pd.upf
ATOMIC_POSITIONS angstrom
Ti 3.143 4.260 9.260
Ti 1.572 4.916 4.188
Ti 3.144 0.984 6.478
Ti 1.573 1.640 1.406
V 1.569 2.598 7.972
V 3.146 3.302 2.694
Pd 1.572 2.050 4.480
Pd 0.000 0.000 0.000
Pd 3.144 3.850 6.186
CELL_PARAMETERS angstrom
3.147 0.001 0.000
1.573 4.675 0.930
-0.005 1.224 9.736
! V = 15.52 A^3/atom
! Magnetization = 2.5 Bohr magnetons per cell
! Symmetry = C2/m, No. 12
! Uncorrected energy = -7.521 eV/atom